(1)
Density functional theory data (GGA-PBE) for RbCe2Pm3Te6 after structural relaxation.

Cell and atoms, written as extended XYZ:
```
12
Lattice="9.9795 -2.2424 0.0000 9.9795 2.2424 0.0000 -2.2589 0.0000 9.0242" Properties=species:S:1:pos:R:3 pbc="T T T"
Rb 0.0000 0.0000 0.0000
Ce 5.1010 0.0000 5.9512
Ce 12.5989 0.0000 3.0730
Pm -1.1295 0.0000 4.5121
Pm 6.3480 0.0000 1.5960
Pm 11.3520 0.0000 7.4282
Te 1.9721 0.0000 5.2708
Te 3.2975 0.0000 0.7597
Te 8.2746 0.0000 6.5960
Te 9.4254 0.0000 2.4282
Te 14.4025 0.0000 8.2645
Te 15.7279 0.0000 3.7534
```

Calculated values
For the formation energy without anion corrections, the calculation gives -1347 meV per atom.

(2)
Density functional theory data (GGA-PBE) for CePmRe4 after structural relaxation.

Cell and atoms, written as extended XYZ:
```
6
Lattice="0.0000 3.8786 3.8786 3.8786 0.0000 3.8786 3.8786 3.8786 0.0000" Properties=species:S:1:pos:R:3 pbc="T T T"
Ce 0.0000 0.0000 0.0000
Pm 1.9393 1.9393 1.9393
Re 4.8481 2.9092 2.9092
Re 2.9092 4.8481 2.9092
Re 2.9092 2.9092 4.8481
Re 4.8481 4.8481 4.8481
```

Calculated values
Its electronic total energy is -10.072 eV per atom.